# 1
# ZnSnAs, relaxed, DFT PBE
data_ZnSnAs
_symmetry_space_group_name_H-M 'P 1'
_symmetry_Int_Tables_number 1
_symmetry_space_group_name_Hall 'P 1'
_cell_length_a 4.755
_cell_length_b 4.755
_cell_length_c 4.755
_cell_angle_alpha 60.00
_cell_angle_beta 60.00
_cell_angle_gamma 60.00
loop_
_atom_site_label
_atom_site_type_symbol
_atom_site_fract_x
_atom_site_fract_y
_atom_site_fract_z
Zn1 Zn 0.000 0.000 0.000
Sn1 Sn 0.750 0.750 0.750
As1 As 0.500 0.500 0.500
# * excess energy over the best structure of this formula in the dataset: 242.8 meV/atom


# 2
# ZrSnAs2, relaxed, DFT PBE
data_ZrSnAs2
_symmetry_space_group_name_H-M 'P 1'
_symmetry_Int_Tables_number 1
_symmetry_space_group_name_Hall 'P 1'
_cell_length_a 4.955
_cell_length_b 4.955
_cell_length_c 4.955
_cell_angle_alpha 60.00
_cell_angle_beta 60.00
_cell_angle_gamma 60.00
loop_
_atom_site_label
_atom_site_type_symbol
_atom_site_fract_x
_atom_site_fract_y
_atom_site_fract_z
Zr1 Zr 0.000 0.000 0.000
Sn1 Sn 0.250 0.250 0.250
As1 As 0.500 0.500 0.500
As2 As 0.750 0.750 0.750
# * uncorrected energy: -21.4 eV/cell


# 3
# SrTmAs, relaxed, DFT PBE
data_SrTmAs
_symmetry_space_group_name_H-M 'P 1'
_symmetry_Int_Tables_number 1
_symmetry_space_group_name_Hall 'P 1'
_cell_length_a 4.984
_cell_length_b 4.984
_cell_length_c 4.984
_cell_angle_alpha 60.00
_cell_angle_beta 60.00
_cell_angle_gamma 60.00
loop_
_atom_site_label
_atom_site_type_symbol
_atom_site_fract_x
_atom_site_fract_y
_atom_site_fract_z
Sr1 Sr 0.000 0.000 0.000
Tm1 Tm 0.500 0.500 0.500
As1 As 0.250 0.250 0.250
# * excess energy over the best structure of this formula in the dataset: 0.0 meV/atom


# 4
# SrTm2As2, relaxed, DFT PBE
data_SrTm2As2
_symmetry_space_group_name_H-M 'P 1'
_symmetry_Int_Tables_number 1
_symmetry_space_group_name_Hall 'P 1'
_cell_length_a 4.477
_cell_length_b 4.477
_cell_length_c 8.200
_cell_angle_alpha 90.00
_cell_angle_beta 90.00
_cell_angle_gamma 120.00
loop_
_atom_site_label
_atom_site_type_symbol
_atom_site_fract_x
_atom_site_fract_y
_atom_site_fract_z
Sr1 Sr 0.000 0.000 0.000
Tm1 Tm 0.333 0.667 0.632
Tm2 Tm 0.667 0.333 0.368
As1 As 0.333 0.667 0.241
As2 As 0.667 0.333 0.759
# * uncorrected energy: -25.0 eV/cell


# 5
# SrAsW, relaxed, DFT PBE
data_SrAsW
_symmetry_space_group_name_H-M 'P 1'
_symmetry_Int_Tables_number 1
_symmetry_space_group_name_Hall 'P 1'
_cell_length_a 5.047
_cell_length_b 5.047
_cell_length_c 5.047
_cell_angle_alpha 60.00
_cell_angle_beta 60.00
_cell_angle_gamma 60.00
loop_
_atom_site_label
_atom_site_type_symbol
_atom_site_fract_x
_atom_site_fract_y
_atom_site_fract_z
Sr1 Sr 0.000 0.000 0.000
As1 As 0.750 0.750 0.750
W1 W 0.250 0.250 0.250
# * excess energy over the best structure of this formula in the dataset: 852.8 meV/atom


# 6
# SrAsW, relaxed, DFT PBE
data_SrAsW
_symmetry_space_group_name_H-M 'P 1'
_symmetry_Int_Tables_number 1
_symmetry_space_group_name_Hall 'P 1'
_cell_length_a 4.650
_cell_length_b 4.650
_cell_length_c 4.650
_cell_angle_alpha 60.00
_cell_angle_beta 60.00
_cell_angle_gamma 60.00
loop_
_atom_site_label
_atom_site_type_symbol
_atom_site_fract_x
_atom_site_fract_y
_atom_site_fract_z
Sr1 Sr 0.000 0.000 0.000
As1 As 0.250 0.250 0.250
W1 W 0.500 0.500 0.500
# * excess energy over the best structure of this formula in the dataset: 0.0 meV/atom


# 7
# SrZn2As2, relaxed, DFT PBE
data_SrZn2As2
_symmetry_space_group_name_H-M 'P 1'
_symmetry_Int_Tables_number 1
_symmetry_space_group_name_Hall 'P 1'
_cell_length_a 4.245
_cell_length_b 4.245
_cell_length_c 7.320
_cell_angle_alpha 90.00
_cell_angle_beta 90.00
_cell_angle_gamma 120.00
loop_
_atom_site_label
_atom_site_type_symbol
_atom_site_fract_x
_atom_site_fract_y
_atom_site_fract_z
Sr1 Sr 0.000 0.000 0.000
Zn1 Zn 0.333 0.667 0.630
Zn2 Zn 0.667 0.333 0.370
As1 As 0.333 0.667 0.271
As2 As 0.667 0.333 0.729
# * uncorrected energy: -16.9 eV/cell


# 8
# Ta3As, relaxed, DFT PBE
data_Ta3As
_symmetry_space_group_name_H-M 'P 1'
_symmetry_Int_Tables_number 1
_symmetry_space_group_name_Hall 'P 1'
_cell_length_a 7.832
_cell_length_b 7.832
_cell_length_c 14.649
_cell_angle_alpha 90.60
_cell_angle_beta 90.60
_cell_angle_gamma 38.33
loop_
_atom_site_label
_atom_site_type_symbol
_atom_site_fract_x
_atom_site_fract_y
_atom_site_fract_z
Ta1 Ta 0.015 0.501 0.702
Ta2 Ta 0.024 0.481 0.091
Ta3 Ta 0.063 0.086 0.677
Ta4 Ta 0.086 0.063 0.177
Ta5 Ta 0.095 0.588 0.496
Ta6 Ta 0.201 0.702 0.994
Ta7 Ta 0.298 0.799 0.506
Ta8 Ta 0.412 0.905 0.004
Ta9 Ta 0.432 0.434 0.171
Ta10 Ta 0.434 0.432 0.671
Ta11 Ta 0.481 0.024 0.591
Ta12 Ta 0.499 0.985 0.798
Ta13 Ta 0.501 0.015 0.202
Ta14 Ta 0.519 0.976 0.409
Ta15 Ta 0.566 0.568 0.329
Ta16 Ta 0.568 0.566 0.829
Ta17 Ta 0.588 0.095 0.996
Ta18 Ta 0.702 0.201 0.494
Ta19 Ta 0.799 0.298 0.006
Ta20 Ta 0.905 0.412 0.504
Ta21 Ta 0.914 0.937 0.823
Ta22 Ta 0.937 0.914 0.323
Ta23 Ta 0.976 0.519 0.909
Ta24 Ta 0.985 0.499 0.298
As1 As 0.099 0.101 0.859
As2 As 0.101 0.099 0.359
As3 As 0.372 0.401 0.844
As4 As 0.401 0.372 0.344
As5 As 0.599 0.628 0.656
As6 As 0.628 0.599 0.156
As7 As 0.899 0.901 0.641
As8 As 0.901 0.899 0.141
# * uncorrected energy: -332.1 eV/cell


# 9
# Ta3As, relaxed, DFT PBE
data_Ta3As
_symmetry_space_group_name_H-M 'P 1'
_symmetry_Int_Tables_number 1
_symmetry_space_group_name_Hall 'P 1'
_cell_length_a 10.367
_cell_length_b 10.367
_cell_length_c 5.170
_cell_angle_alpha 90.00
_cell_angle_beta 90.00
_cell_angle_gamma 90.00
loop_
_atom_site_label
_atom_site_type_symbol
_atom_site_fract_x
_atom_site_fract_y
_atom_site_fract_z
Ta1 Ta 0.043 0.553 0.245
Ta2 Ta 0.053 0.957 0.745
Ta3 Ta 0.100 0.244 0.010
Ta4 Ta 0.156 0.662 0.738
Ta5 Ta 0.162 0.844 0.238
Ta6 Ta 0.244 0.400 0.490
Ta7 Ta 0.256 0.100 0.490
Ta8 Ta 0.338 0.656 0.238
Ta9 Ta 0.344 0.838 0.738
Ta10 Ta 0.400 0.256 0.010
Ta11 Ta 0.447 0.543 0.745
Ta12 Ta 0.457 0.947 0.245
Ta13 Ta 0.543 0.053 0.755
Ta14 Ta 0.553 0.457 0.255
Ta15 Ta 0.600 0.744 0.990
Ta16 Ta 0.656 0.162 0.262
Ta17 Ta 0.662 0.344 0.762
Ta18 Ta 0.744 0.900 0.510
Ta19 Ta 0.756 0.600 0.510
Ta20 Ta 0.838 0.156 0.762
Ta21 Ta 0.844 0.338 0.262
Ta22 Ta 0.900 0.756 0.990
Ta23 Ta 0.947 0.043 0.255
Ta24 Ta 0.957 0.447 0.755
As1 As 0.044 0.239 0.511
As2 As 0.239 0.456 0.989
As3 As 0.261 0.044 0.989
As4 As 0.456 0.261 0.511
As5 As 0.544 0.739 0.489
As6 As 0.739 0.956 0.011
As7 As 0.761 0.544 0.011
As8 As 0.956 0.761 0.489
# * uncorrected energy: -332.4 eV/cell


# 10
# TaAs2, relaxed, DFT PBE
data_TaAs2
_symmetry_space_group_name_H-M 'P 1'
_symmetry_Int_Tables_number 1
_symmetry_space_group_name_Hall 'P 1'
_cell_length_a 5.015
_cell_length_b 5.015
_cell_length_c 7.843
_cell_angle_alpha 117.68
_cell_angle_beta 117.68
_cell_angle_gamma 39.78
loop_
_atom_site_label
_atom_site_type_symbol
_atom_site_fract_x
_atom_site_fract_y
_atom_site_fract_z
Ta1 Ta 0.157 0.157 0.196
Ta2 Ta 0.843 0.843 0.804
As1 As 0.141 0.141 0.528
As2 As 0.405 0.405 0.107
As3 As 0.595 0.595 0.893
As4 As 0.859 0.859 0.472
# * uncorrected energy: -45.2 eV/cell


# 11
# TaAs2, relaxed, DFT PBE
data_TaAs2
_symmetry_space_group_name_H-M 'P 1'
_symmetry_Int_Tables_number 1
_symmetry_space_group_name_Hall 'P 1'
_cell_length_a 5.360
_cell_length_b 5.360
_cell_length_c 5.360
_cell_angle_alpha 60.00
_cell_angle_beta 60.00
_cell_angle_gamma 60.00
loop_
_atom_site_label
_atom_site_type_symbol
_atom_site_fract_x
_atom_site_fract_y
_atom_site_fract_z
Ta1 Ta 0.125 0.125 0.125
Ta2 Ta 0.875 0.875 0.875
As1 As 0.000 0.500 0.500
As2 As 0.500 0.000 0.500
As3 As 0.500 0.500 0.000
As4 As 0.500 0.500 0.500
# * uncorrected energy: -38.1 eV/cell


# 12
# TaAs2, relaxed, DFT PBE
data_TaAs2
_symmetry_space_group_name_H-M 'P 1'
_symmetry_Int_Tables_number 1
_symmetry_space_group_name_Hall 'P 1'
_cell_length_a 7.906
_cell_length_b 7.906
_cell_length_c 7.906
_cell_angle_alpha 60.00
_cell_angle_beta 60.00
_cell_angle_gamma 60.00
loop_
_atom_site_label
_atom_site_type_symbol
_atom_site_fract_x
_atom_site_fract_y
_atom_site_fract_z
Ta1 Ta 0.125 0.125 0.125
Ta2 Ta 0.875 0.875 0.875
As1 As 0.000 0.000 0.000
As2 As 0.000 0.000 0.500
As3 As 0.000 0.500 0.000
As4 As 0.500 0.000 0.000
# * uncorrected energy: -39.2 eV/cell


# 13
# TbTaAs, relaxed, DFT PBE
data_TbTaAs
_symmetry_space_group_name_H-M 'P 1'
_symmetry_Int_Tables_number 1
_symmetry_space_group_name_Hall 'P 1'
_cell_length_a 4.564
_cell_length_b 4.564
_cell_length_c 4.564
_cell_angle_alpha 60.00
_cell_angle_beta 60.00
_cell_angle_gamma 60.00
loop_
_atom_site_label
_atom_site_type_symbol
_atom_site_fract_x
_atom_site_fract_y
_atom_site_fract_z
Tb1 Tb 0.000 0.000 0.000
Ta1 Ta 0.500 0.500 0.500
As1 As 0.750 0.750 0.750
# * uncorrected energy: -21.4 eV/cell